[1]
DFT (PBE) results for crystalline Sm2Sn4Ir3Rh at its relaxed geometry.

Calculated values
**Space group**: P-4m2
**Final energy**: -65.2 eV/cell
**Theoretical density**: 11.13 g/cm³
**Energy relative to the elements**: -0.586 eV/atom

Cell and atoms, written as POSCAR:
```
Sm2Sn4Ir3Rh
1.0
4.460 0.000 0.000
0.000 4.460 0.000
0.000 0.000 10.914
Ir Sn Rh Sm
3 4 1 2
Cartesian
2.230 0.000 9.451
0.000 0.000 5.457
0.000 2.230 1.463
0.000 0.000 0.000
0.000 2.230 4.039
2.230 2.230 0.000
2.230 0.000 6.875
2.230 2.230 5.457
0.000 2.230 8.175
2.230 0.000 2.739
```



[2]
DFT (PBE) results for crystalline TbSmIrRh at its relaxed geometry.

Calculated values
**Space group**: F-43m
**Final energy**: -28.6 eV/cell
**Theoretical density**: 12.00 g/cm³
**Energy relative to the elements**: -0.770 eV/atom

Cell and atoms, written as POSCAR:
```
TbSmIrRh
1.0
4.909 0.000 0.000
2.455 4.251 0.000
2.455 1.417 4.008
Rh Ir Tb Sm
1 1 1 1
Cartesian
4.909 2.834 2.004
0.000 0.000 0.000
7.364 4.251 3.006
2.455 1.417 1.002
```



> What is the theoretical density in the first record?

11.13 g/cm³